No. 1
This record from the Alexandria database describes an optimized crystal structure of SiAg2O. The functional is GGA-PBE.

Computed properties:
The calculation puts the uncorrected formation energy at 0.324 eV per atom. The calculation puts the energy above the most stable polymorph in this dataset at 0.42 eV/f.u.

Geometry as CIF:
```
data_SiAg2O
_space_group_name_H-M_alt 'F m -3 m'
_space_group_IT_number 225
_space_group_name_Hall '-F 4 2 3'
_cell_length_a 6.178
_cell_length_b 6.178
_cell_length_c 6.178
_cell_angle_alpha 90.00
_cell_angle_beta 90.00
_cell_angle_gamma 90.00
loop_
_atom_site_label
_atom_site_type_symbol
_atom_site_fract_x
_atom_site_fract_y
_atom_site_fract_z
Si1 Si 0.000 0.000 0.000
Ag1 Ag 0.250 0.250 0.250
O1 O 0.000 0.000 0.500
```

=====

No. 2
This record from the Alexandria database describes an optimized crystal structure of Tl2ZnCu2. The functional is GGA-PBE.

Computed properties:
The calculation puts the energy above the most stable polymorph in this dataset at 0.43 eV/f.u.

Geometry as CIF:
```
data_Tl2ZnCu2
_space_group_name_H-M_alt 'I 4/m m m'
_space_group_IT_number 139
_space_group_name_Hall '-I 4 2'
_cell_length_a 5.450
_cell_length_b 5.450
_cell_length_c 7.316
_cell_angle_alpha 90.00
_cell_angle_beta 90.00
_cell_angle_gamma 90.00
loop_
_atom_site_label
_atom_site_type_symbol
_atom_site_fract_x
_atom_site_fract_y
_atom_site_fract_z
Tl1 Tl 0.000 0.500 0.250
Zn1 Zn 0.000 0.000 0.000
Cu1 Cu 0.000 0.000 0.335
```

=====

No. 3
This record from the Alexandria database describes an optimized crystal structure of Ac4LaTb2. The functional is GGA-PBE.

Computed properties:
For the total energy, the calculation gives -4.2712 eV/atom.

Geometry as CIF:
```
data_Ac4LaTb2
_space_group_name_H-M_alt 'C 1 c 1'
_space_group_IT_number 9
_space_group_name_Hall 'C -2yc'
_cell_length_a 6.785
_cell_length_b 12.970
_cell_length_c 13.245
_cell_angle_alpha 90.00
_cell_angle_beta 104.84
_cell_angle_gamma 90.00
loop_
_atom_site_label
_atom_site_type_symbol
_atom_site_fract_x
_atom_site_fract_y
_atom_site_fract_z
Ac1 Ac 0.000 0.064 0.000
Ac2 Ac 0.061 0.425 0.650
Ac3 Ac 0.202 0.325 0.932
Ac4 Ac 0.291 0.186 0.581
La1 La 0.133 0.124 0.291
Tb1 Tb 0.388 0.350 0.225
Tb2 Tb 0.454 0.101 0.856
```

=====

Which formula does entry 3 have?
Ac4LaTb2